NiI2NF: optimized geometry, PBE with a Hubbard U. Values from VASP.

Results
DFT total energy (eV/cell): -12.3
Energy relative to the lowest polymorph listed for this composition (meV/atom): 0
Total magnetic moment (μB/f.u.): 1.355

```
&SYSTEM
  ibrav = 0, nat = 5, ntyp = 4
/
ATOMIC_SPECIES
I 126.90 I.upf
Ni 58.69 Ni.upf
N 14.01 N.upf
F 19.00 F.upf
CELL_PARAMETERS angstrom
-0.510 4.536 2.951
-4.211 1.529 -3.078
-2.123 -1.608 2.105
ATOMIC_POSITIONS crystal
I 0.000 0.500 0.000
I 0.500 0.000 0.000
Ni 0.000 0.000 0.000
N 0.000 0.000 0.500
F 0.500 0.500 0.500
```